LiFe2F6 | Alexandria via LeMat-Bulk | PBE+U | optimized geometry; total moment = 9.00 Bohr magnetons per cell; energy above the most stable polymorph in this dataset = 0.205 eV/atom; E_tot = -5.097 eV/atom; N(E_F) = 4.5 states/eV/cell
1.0
3.400 0.000 0.000
-1.700 5.544 -0.173
0.000 0.263 6.468
Li Fe F
1 2 6
direct
0.000 0.000 0.500
0.221 0.441 0.737
0.779 0.559 0.263
0.054 0.107 0.768
0.221 0.441 0.144
0.779 0.559 0.856
0.345 0.690 0.514
0.655 0.310 0.486
0.946 0.893 0.232